Li4Cd2Au after structural relaxation. Source: Alexandria, functional PBE.

Cell lengths 10.3342, 5.4448, 9.1311 Å; angles 90.00, 90.00, 90.00 degrees
Last column: nearest neighbours and their distance in Å.
Space group Cmce (No. 64)
One atom of each set of equivalent atoms:
Li (0.0000, 0.2480, 0.2498) x8  4 Li 2.58-2.72, 2 Au 2.65-2.66
Li (0.2500, 0.2494, 0.7500) x8  4 Li 2.58-2.72, 4 Cd 2.86
Cd (0.1470, 0.0000, 0.0000) x8  8 Li 2.86-3.07, 1 Cd 3.04, 2 Au 3.12
Au (0.0000, 0.0000, 0.5000) x4  4 Li 2.65-2.66

Summary:
DFT formation energy	-0.14	eV/atom